The following is a DFT calculation (PBE) of a geometry-optimized GdMgScGa structure.

The space group is F-43m (No. 216) and the conventional cell measures 7.1360, 7.1360 and 7.1360 Å, with angles of 90.00, 90.00 and 90.00 degrees. The distinct sites, in fractional coordinates, are Gd at (0.0000, 0.0000, 0.0000), Mg at (0.2500, 0.2500, 0.2500), Sc at (0.0000, 0.0000, 0.5000) and Ga at (0.2500, 0.2500, 0.7500).

For the uncorrected energy, the calculation gives -6.591 eV per atom. Its spin magnetization is 29.089 Bohr magnetons per cell. For the formation energy, the calculation gives -332 meV per atom. Its volume is 22.7 Å³ per atom.

***

The following is a DFT calculation (PBE) of a geometry-optimized Rb2BaO structure.

The space group is I-42d (No. 122) and the conventional cell measures 8.7041, 8.7041 and 11.6955 Å, with angles of 90.00, 90.00 and 90.00 degrees. The distinct sites, in fractional coordinates, are Rb at (0.0539, 0.7500, 0.1250), Ba at (0.0000, 0.0000, 0.5000) and O at (0.0000, 0.0000, 0.0000).

For the uncorrected energy, the calculation gives -2.532 eV per atom. Its spin magnetization is 0.000 Bohr magnetons per cell. Its volume is 55.4 Å³ per atom.

***

The following is a DFT calculation (PBE) of a geometry-optimized Al9Rh2 structure.

The space group is P2_1/c (No. 14) and the conventional cell measures 6.3656, 6.4618 and 8.7349 Å, with angles of 90.00, 95.06 and 90.00 degrees. The distinct sites, in fractional coordinates, are Al at (0.0000, 0.0000, 0.0000), Al at (0.0966, 0.2130, 0.7271), Al at (0.2116, 0.6056, 0.0395), Al at (0.3884, 0.1969, 0.9965), Al at (0.4002, 0.5211, 0.7695) and Rh at (0.2639, 0.6229, 0.3312).

For the uncorrected energy, the calculation gives -4.906 eV per atom. Its spin magnetization is 0.000 Bohr magnetons per cell. For the formation energy, the calculation gives -507 meV per atom. Its volume is 16.3 Å³ per atom.

***

The following is a DFT calculation (PBE) of a geometry-optimized Ac2UPbS6 structure.

The space group is R3 (No. 146, hexagonal axes) and the conventional cell measures 7.4019, 7.4019 and 19.0983 Å, with angles of 90.00, 90.00 and 120.00 degrees. The distinct sites, in fractional coordinates, are Ac at (0.0000, 0.0000, 0.0000), Ac at (0.0000, 0.0000, 0.4933), U at (0.0000, 0.0000, 0.7014), Pb at (0.0000, 0.0000, 0.2098), S at (0.0476, 0.3390, 0.7715) and S at (0.0585, 0.6765, 0.2758).

For the uncorrected energy, the calculation gives -6.357 eV per atom. Its spin magnetization is 6.000 Bohr magnetons per cell. Its volume is 30.2 Å³ per atom.

***

The following is a DFT calculation (PBE) of a geometry-optimized Mg2ZnAu9 structure.

The space group is P4/mmm (No. 123) and the conventional cell measures 4.1355, 4.1355 and 12.3903 Å, with angles of 90.00, 90.00 and 90.00 degrees. The distinct sites, in fractional coordinates, are Mg at (0.0000, 0.0000, 0.1687), Zn at (0.0000, 0.0000, 0.5000), Au at (0.0000, 0.5000, 0.0000), Au at (0.0000, 0.5000, 0.3356), Au at (0.5000, 0.5000, 0.1680) and Au at (0.5000, 0.5000, 0.5000).

For the uncorrected energy, the calculation gives -3.126 eV per atom. Its spin magnetization is 0.000 Bohr magnetons per cell. For the formation energy, the calculation gives -296 meV per atom. Its volume is 17.7 Å³ per atom.

***

The following is a DFT calculation (PBE) of a geometry-optimized SrSm2NpO8 structure.

The space group is P2/m (No. 10) and the conventional cell measures 4.0667, 7.8321 and 5.4082 Å, with angles of 90.00, 94.90 and 90.00 degrees. The distinct sites, in fractional coordinates, are Sr at (0.0000, 0.0000, 0.0000), Sm at (0.5000, 0.2621, 0.5000), Np at (0.0000, 0.5000, 0.0000), O at (0.0349, 0.2952, 0.7624), O at (0.4475, 0.5000, 0.2228) and O at (0.4899, 0.0000, 0.7114).

For the uncorrected energy, the calculation gives -8.173 eV per atom. Its spin magnetization is 0.996 Bohr magnetons per cell. Its volume is 14.3 Å³ per atom.

***

The following is a DFT calculation (PBE) of a geometry-optimized ZrTaAg2Hg structure.

The space group is P4/mmm (No. 123) and the conventional cell measures 5.0188, 5.0188 and 5.2428 Å, with angles of 90.00, 90.00 and 90.00 degrees. The distinct sites, in fractional coordinates, are Zr at (0.0000, 0.0000, 0.0000), Ta at (0.5000, 0.5000, 0.5000), Ag at (0.0000, 0.5000, 0.0000) and Hg at (0.0000, 0.0000, 0.5000).

For the uncorrected energy, the calculation gives -3.458 eV per atom. Its spin magnetization is 0.001 Bohr magnetons per cell. For the formation energy, the calculation gives 1823 meV per atom. Its volume is 26.4 Å³ per atom.

***

The following is a DFT calculation (PBE) of a geometry-optimized UTlAg2I8 structure.

The space group is C2/m (No. 12) and the conventional cell measures 12.0793, 8.7397 and 9.9897 Å, with angles of 90.00, 90.12 and 90.00 degrees. The distinct sites, in fractional coordinates, are U at (0.0000, 0.0000, 0.0000), Tl at (0.0000, 0.0000, 0.5000), Ag at (0.1715, 0.5000, 0.7516), I at (0.0012, 0.2384, 0.2093), I at (0.2137, 0.5000, 0.4889) and I at (0.2456, 0.0000, 0.9891).

For the uncorrected energy, the calculation gives -3.158 eV per atom. Its spin magnetization is 2.003 Bohr magnetons per cell. Its volume is 43.9 Å³ per atom.

***

The following is a DFT calculation (PBE) of a geometry-optimized NiH2CI structure.

The space group is P4/mmm (No. 123) and the conventional cell measures 3.5327, 3.5327 and 4.1622 Å, with angles of 90.00, 90.00 and 90.00 degrees. The distinct sites, in fractional coordinates, are Ni at (0.0000, 0.0000, 0.0000), H at (0.0000, 0.5000, 0.0000), C at (0.0000, 0.0000, 0.5000) and I at (0.5000, 0.5000, 0.5000).

For the uncorrected energy, the calculation gives -3.494 eV per atom. Its spin magnetization is 0.000 Bohr magnetons per cell. Its volume is 10.4 Å³ per atom.

***

The following is a DFT calculation (PBE) of a geometry-optimized BHS2 structure.

The space group is I-42d (No. 122) and the conventional cell measures 4.6067, 4.6067 and 8.9369 Å, with angles of 90.00, 90.00 and 90.00 degrees. The distinct sites, in fractional coordinates, are B at (0.0000, 0.0000, 0.0000), H at (0.0000, 0.0000, 0.5000) and S at (0.2349, 0.2500, 0.1250).

For the uncorrected energy, the calculation gives -4.566 eV per atom. Its spin magnetization is 0.000 Bohr magnetons per cell. Its volume is 11.9 Å³ per atom.

***

The following is a DFT calculation (PBE) of a geometry-optimized La8As3SeS4 structure.

The space group is R-3m (No. 166, hexagonal axes) and the conventional cell measures 8.5421, 8.5421 and 20.7970 Å, with angles of 90.00, 90.00 and 120.00 degrees. The distinct sites, in fractional coordinates, are La at (0.0000, 0.0000, 0.2486), La at (0.0042, 0.5021, 0.2477), As at (0.0000, 0.5000, 0.0000), Se at (0.0000, 0.0000, 0.0000), S at (0.0000, 0.0000, 0.5000) and S at (0.0000, 0.5000, 0.5000).

For the uncorrected energy, the calculation gives -6.530 eV per atom. Its spin magnetization is 0.000 Bohr magnetons per cell. Its volume is 27.4 Å³ per atom.

***

The following is a DFT calculation (PBE) of a geometry-optimized NaPdCl structure.

The space group is C2/m (No. 12) and the conventional cell measures 10.2746, 3.6621 and 8.5401 Å, with angles of 90.00, 123.82 and 90.00 degrees. The distinct sites, in fractional coordinates, are Na at (0.0410, 0.0000, 0.2747), Pd at (0.2449, 0.5000, 0.8885) and Cl at (0.2286, 0.0000, 0.6776).

For the uncorrected energy, the calculation gives -3.513 eV per atom. Its spin magnetization is 0.000 Bohr magnetons per cell. Its volume is 22.2 Å³ per atom.

***

The following is a DFT calculation (PBE) of a geometry-optimized Ta2TlP structure.

The space group is Cmmm (No. 65) and the conventional cell measures 3.5983, 5.0398 and 8.1343 Å, with angles of 90.00, 90.00 and 90.00 degrees. The distinct sites, in fractional coordinates, are Ta at (0.0000, 0.0000, 0.2035), Tl at (0.0000, 0.5000, 0.5000) and P at (0.0000, 0.5000, 0.0000).

For the uncorrected energy, the calculation gives -7.776 eV per atom. Its spin magnetization is 0.000 Bohr magnetons per cell. For the formation energy, the calculation gives 95 meV per atom. Its volume is 18.4 Å³ per atom.

***

The following is a DFT calculation (PBE) of a geometry-optimized LuPuPaSn structure.

The space group is F-43m (No. 216) and the conventional cell measures 7.3752, 7.3752 and 7.3752 Å, with angles of 90.00, 90.00 and 90.00 degrees. The distinct sites, in fractional coordinates, are Lu at (0.0000, 0.0000, 0.0000), Pu at (0.0000, 0.0000, 0.5000), Pa at (0.2500, 0.2500, 0.7500) and Sn at (0.2500, 0.2500, 0.2500).

For the uncorrected energy, the calculation gives -8.128 eV per atom. Its spin magnetization is 29.428 Bohr magnetons per cell. For the formation energy, the calculation gives -40 meV per atom. Its volume is 25.1 Å³ per atom.

***

The following is a DFT calculation (PBE) of a geometry-optimized Ti6Al2Fe structure.

The space group is Cmmm (No. 65) and the conventional cell measures 5.6237, 12.0474 and 4.4383 Å, with angles of 90.00, 90.00 and 90.00 degrees. The distinct sites, in fractional coordinates, are Ti at (0.2407, 0.0000, 0.0000), Ti at (0.2433, 0.1419, 0.5000), Al at (0.0000, 0.2409, 0.0000) and Fe at (0.0000, 0.5000, 0.5000).

For the uncorrected energy, the calculation gives -7.047 eV per atom. Its spin magnetization is 0.012 Bohr magnetons per cell. For the formation energy, the calculation gives -12 meV per atom. Its volume is 16.7 Å³ per atom.

***

The following is a DFT calculation (PBE) of a geometry-optimized K5Sn4 structure.

The space group is C2/m (No. 12) and the conventional cell measures 12.3765, 5.6691 and 12.1597 Å, with angles of 90.00, 115.52 and 90.00 degrees. The distinct sites, in fractional coordinates, are K at (0.0000, 0.0000, 0.0000), K at (0.1142, 0.0000, 0.4053), K at (0.2461, 0.5000, 0.1627), Sn at (0.0523, 0.5000, 0.8256) and Sn at (0.1007, 0.5000, 0.6247).

For the uncorrected energy, the calculation gives -2.550 eV per atom. Its spin magnetization is 0.000 Bohr magnetons per cell. For the formation energy, the calculation gives -161 meV per atom. Its volume is 42.8 Å³ per atom.

***

The following is a DFT calculation (PBE) of a geometry-optimized Na3Y2BiO6 structure.

The space group is C2/m (No. 12) and the conventional cell measures 6.0104, 10.4083 and 5.9745 Å, with angles of 90.00, 109.65 and 90.00 degrees. The distinct sites, in fractional coordinates, are Na at (0.0000, 0.0000, 0.0000), Na at (0.0000, 0.3337, 0.0000), Y at (0.0000, 0.1668, 0.5000), Bi at (0.0000, 0.5000, 0.5000), O at (0.2258, 0.0000, 0.7184) and O at (0.2459, 0.3265, 0.7166).

For the uncorrected energy, the calculation gives -6.512 eV per atom. Its spin magnetization is 0.000 Bohr magnetons per cell. Its volume is 14.7 Å³ per atom.

***

The following is a DFT calculation (PBE) of a geometry-optimized Mo4PbSe structure.

The space group is F-43m (No. 216) and the conventional cell measures 7.6090, 7.6090 and 7.6090 Å, with angles of 90.00, 90.00 and 90.00 degrees. The distinct sites, in fractional coordinates, are Mo at (0.1218, 0.1218, 0.3782), Pb at (0.0000, 0.0000, 0.0000) and Se at (0.2500, 0.2500, 0.7500).

For the uncorrected energy, the calculation gives -7.783 eV per atom. Its spin magnetization is 0.000 Bohr magnetons per cell. Its volume is 18.4 Å³ per atom.

***

The following is a DFT calculation (PBE) of a geometry-optimized Nd2DyPu structure.

The space group is P4/mmm (No. 123) and the conventional cell measures 5.0626, 5.0626 and 5.0302 Å, with angles of 90.00, 90.00 and 90.00 degrees. The distinct sites, in fractional coordinates, are Nd at (0.0000, 0.5000, 0.0000), Dy at (0.0000, 0.0000, 0.5000) and Pu at (0.5000, 0.5000, 0.5000).

For the uncorrected energy, the calculation gives -6.966 eV per atom. Its spin magnetization is 6.257 Bohr magnetons per cell. For the formation energy, the calculation gives 151 meV per atom. Its volume is 32.2 Å³ per atom.

***

The following is a DFT calculation (PBE) of a geometry-optimized CeHoFe structure.

The space group is P-6m2 (No. 187) and the conventional cell measures 4.0307, 4.0307 and 4.9619 Å, with angles of 90.00, 90.00 and 120.00 degrees. The distinct sites, in fractional coordinates, are Ce at (0.0000, 0.0000, 0.0000), Ho at (0.3333, 0.6667, 0.5000) and Fe at (0.6667, 0.3333, 0.0000).

For the uncorrected energy, the calculation gives -6.262 eV per atom. Its spin magnetization is 0.000 Bohr magnetons per cell. For the formation energy, the calculation gives 63 meV per atom. Its volume is 23.3 Å³ per atom.